Record 1
Density functional theory data (GGA-PBE) for a relaxed LaThGaTc crystal. Values from VASP.

Properties
- space-group type = F-43m
- energy relative to the elements (kcal/mol of atoms) = -3.07

Quantum ESPRESSO input file:
```
&SYSTEM
  ibrav = 0, nat = 4, ntyp = 4
/
ATOMIC_SPECIES
Ga 69.72 Ga.upf
Tc 98.00 Tc.upf
Th 232.04 Th.upf
La 138.91 La.upf
ATOMIC_POSITIONS angstrom
Ga 2.582 1.491 1.054
Tc 7.746 4.472 3.162
Th 0.000 0.000 0.000
La 5.164 2.982 2.108
CELL_PARAMETERS angstrom
5.164 0.000 0.000
2.582 4.472 0.000
2.582 1.491 4.217
```

Record 2
Density functional theory data (GGA-PBE) for a relaxed NdLuGaAg crystal. Values from VASP.

Properties
- space-group type = F-43m
- energy relative to the elements (kcal/mol of atoms) = -9.80

Quantum ESPRESSO input file:
```
&SYSTEM
  ibrav = 0, nat = 4, ntyp = 4
/
ATOMIC_SPECIES
Lu 174.97 Lu.upf
Nd 144.24 Nd.upf
Ga 69.72 Ga.upf
Ag 107.87 Ag.upf
ATOMIC_POSITIONS angstrom
Lu 0.000 0.000 0.000
Nd -5.129 3.227 -1.761
Ga -7.693 4.840 -2.641
Ag -2.564 1.613 -0.880
CELL_PARAMETERS angstrom
-1.953 4.706 -0.761
-3.351 0.810 -3.828
-4.953 0.937 1.067
```

Record 3
Density functional theory data (GGA-PBE) for a relaxed NpPaSe2 crystal. Values from VASP.

Properties
- space-group type = R-3m
- ΔE_f (raw) (eV/atom) = -1.1530
- energy relative to the lowest polymorph listed for this composition (meV per atom) = 0

Quantum ESPRESSO input file:
```
&SYSTEM
  ibrav = 0, nat = 4, ntyp = 3
/
ATOMIC_SPECIES
Np 237.00 Np.upf
Pa 231.04 Pa.upf
Se 78.96 Se.upf
ATOMIC_POSITIONS angstrom
Np 0.000 0.000 0.000
Pa -1.497 0.299 5.552
Se -2.238 0.471 8.347
Se -0.755 0.127 2.756
CELL_PARAMETERS angstrom
-3.404 -0.682 2.036
-0.033 -2.626 3.049
0.444 3.906 6.018
```

Record 4
Density functional theory data (GGA-PBE) for a relaxed Hf2ZrCu2 crystal. Values from VASP.

Properties
- space-group type = Immm
- energy relative to the lowest polymorph listed for this composition (meV per atom) = 108
- energy relative to the elements (kcal/mol of atoms) = 0.74

Quantum ESPRESSO input file:
```
&SYSTEM
  ibrav = 0, nat = 5, ntyp = 3
/
ATOMIC_SPECIES
Hf 178.49 Hf.upf
Zr 91.22 Zr.upf
Cu 63.55 Cu.upf
ATOMIC_POSITIONS angstrom
Hf 6.061 4.253 3.403
Hf 2.020 1.847 1.478
Zr 0.000 0.000 0.000
Cu 4.041 2.297 3.382
Cu 4.041 3.803 1.499
CELL_PARAMETERS angstrom
4.041 0.000 0.000
2.020 4.902 0.127
2.020 1.198 4.755
```

Record 5
Density functional theory data (GGA-PBE) for a relaxed DySc5Hg4 crystal. Values from VASP.

Properties
- space-group type = P4/mmm
- energy relative to the elements (kcal/mol of atoms) = -7.54

Quantum ESPRESSO input file:
```
&SYSTEM
  ibrav = 0, nat = 10, ntyp = 3
/
ATOMIC_SPECIES
Dy 162.50 Dy.upf
Sc 44.96 Sc.upf
Hg 200.59 Hg.upf
ATOMIC_POSITIONS angstrom
Dy 0.000 0.000 0.000
Sc -2.163 -1.713 1.982
Sc -2.623 -5.191 2.668
Sc -3.077 -8.633 3.348
Sc -3.532 -12.074 4.027
Sc -3.992 -15.553 4.714
Hg -0.524 -3.966 0.783
Hg -0.984 -7.448 1.471
Hg -1.443 -10.916 2.155
Hg -1.903 -14.398 2.843
CELL_PARAMETERS angstrom
-0.265 0.710 3.419
-3.463 0.389 -0.349
-2.427 -18.364 3.626
```

Record 6
Density functional theory data (GGA-PBE) for a relaxed Rb3Ge2Sb4 crystal. Values from VASP.

Properties
- space-group type = C2/c
- ΔE_f (raw) (eV/atom) = -0.1746

Quantum ESPRESSO input file:
```
&SYSTEM
  ibrav = 0, nat = 18, ntyp = 3
/
ATOMIC_SPECIES
Rb 85.47 Rb.upf
Ge 72.64 Ge.upf
Sb 121.76 Sb.upf
ATOMIC_POSITIONS angstrom
Rb 0.189 11.127 2.438
Rb 3.780 7.619 -0.074
Rb 7.455 2.298 7.174
Rb 3.863 5.806 9.686
Rb 1.985 7.519 3.771
Rb 5.659 5.906 5.841
Ge 3.506 3.005 3.812
Ge 0.463 8.935 8.058
Ge 4.137 10.420 5.800
Ge 7.181 4.490 1.554
Sb 3.907 10.694 3.122
Sb 7.411 6.937 0.432
Sb 3.736 2.732 6.490
Sb 0.233 6.489 9.180
Sb 0.986 4.015 4.021
Sb 2.984 8.412 7.169
Sb 6.658 9.410 5.591
Sb 4.660 5.013 2.443
CELL_PARAMETERS angstrom
7.349 -0.175 -0.125
0.148 10.297 -0.016
0.148 3.303 9.753
```

| no. | total DFT energy (no corrections) (eV for the cell shown) | size of the total moment (μB per formula unit) |
| --- | --- | --- |
| 1 | -26.272 | 0.000 |
| 2 | -16.866 | 0.000 |
| 3 | -34.018 | 3.810 |
| 4 | -36.486 | 0.000 |
| 5 | -40.736 | 0.000 |
| 6 | -60.397 | 0.000 |